Entry 1:
VASP calculation (GGA-PBE) on crystalline Mg2BrCl at its relaxed geometry.

```
Mg2BrCl
1.0
3.433 0.000 0.000
0.000 3.610 -0.030
0.000 1.730 8.942
Mg Cl Br
2 1 1
direct
0.500 0.134 0.264
0.000 0.057 0.982
0.500 0.800 0.832
0.000 0.509 0.421
```

Results
ΔE to the lowest computed polymorph, meV per atom: 152
Uncorrected energy, eV per atom: -2.619



Entry 2:
VASP calculation (GGA-PBE) on crystalline MgBrCl4 at its relaxed geometry.

```
MgBrCl4
1.0
0.000 4.115 4.115
4.115 0.000 4.115
4.115 4.115 0.000
Mg Cl Br
1 4 1
direct
0.750 0.750 0.750
0.375 0.874 0.375
0.375 0.375 0.874
0.874 0.375 0.375
0.375 0.375 0.375
0.000 0.000 0.000
```

Results
Uncorrected energy, eV per atom: -1.592



Entry 3:
VASP calculation (GGA-PBE) on crystalline Mg4BrCl at its relaxed geometry.

```
Mg4BrCl
1.0
-2.765 -4.571 2.814
-4.379 -3.067 -2.807
0.970 -5.682 -1.799
Mg Cl Br
4 1 1
direct
0.375 0.375 0.375
0.375 0.375 0.875
0.875 0.375 0.375
0.375 0.875 0.375
0.000 0.000 0.000
0.750 0.750 0.750
```

Results
Uncorrected energy, eV per atom: -1.798



Entry 4:
VASP calculation (GGA-PBE) on crystalline Mg2BrCl at its relaxed geometry.

```
Mg2BrCl
1.0
3.776 -0.038 0.000
-2.044 3.176 0.000
0.000 0.000 8.603
Mg Br Cl
2 1 1
direct
0.000 0.000 0.509
0.000 0.000 0.991
0.500 0.500 0.250
0.500 0.500 0.750
```

Results
ΔE to the lowest computed polymorph, meV per atom: 484
Uncorrected energy, eV per atom: -2.287



Entry 5:
VASP calculation (GGA-PBE) on crystalline Mg2BrCl at its relaxed geometry.

```
Mg2BrCl
1.0
-2.666 0.865 1.878
1.183 -1.874 2.544
4.602 7.247 3.198
Br Mg Cl
1 2 1
direct
0.000 0.000 0.422
0.000 0.000 0.983
0.500 0.500 0.256
0.500 0.500 0.839
```

Results
ΔE to the lowest computed polymorph, meV per atom: 197
Uncorrected energy, eV per atom: -2.574



Entry 6:
VASP calculation (GGA-PBE) on crystalline Mg2BrCl at its relaxed geometry.

```
Mg2BrCl
1.0
8.513 -0.059 -0.035
7.722 3.583 -0.035
7.722 1.676 3.167
Mg Br Cl
2 1 1
direct
0.003 0.003 0.003
0.497 0.497 0.497
0.250 0.250 0.250
0.750 0.750 0.750
```

Results
ΔE to the lowest computed polymorph, meV per atom: 478
Uncorrected energy, eV per atom: -2.293



Entry 7:
VASP calculation (GGA-PBE) on crystalline Mg2BrCl at its relaxed geometry.

```
Mg2BrCl
1.0
0.000 3.612 3.612
3.612 0.000 3.612
3.612 3.612 0.000
Br Mg Cl
1 2 1
direct
0.500 0.500 0.500
0.250 0.250 0.250
0.750 0.750 0.750
0.000 0.000 0.000
```

Results
ΔE to the lowest computed polymorph, meV per atom: 597
Uncorrected energy, eV per atom: -2.174



Entry 8:
VASP calculation (GGA-PBE) on crystalline MgBrCl3 at its relaxed geometry.

```
MgBrCl3
1.0
-1.152 1.197 4.701
-3.945 -3.043 -0.192
2.823 -3.764 1.651
Cl Mg Br
3 1 1
direct
0.000 0.000 0.500
0.000 0.500 0.000
0.500 0.000 0.000
0.000 0.000 0.000
0.500 0.500 0.500
```

Results
ΔE to the lowest computed polymorph, meV per atom: 0
Uncorrected energy, eV per atom: -2.469



no.,E_form (uncorrected) (eV/atom)
1,-0.941
2,0.183
3,-0.148
4,-0.609
5,-0.897
6,-0.616
7,-0.497
8,-0.707